Record 1
DFT (GGA-PBE) results for a relaxed structure of K2NaHgN.

As for the formation energy (no corrections): 1.06 eV per atom. The value obtained for the total magnetization is 0.00 μB per formula unit. The value obtained for the raw total energy is -6.84 eV/cell. The density of states at the Fermi level comes out at 1.417 states/eV per atom.

The space group is P4/mmm (No. 123) and the conventional cell measures 6.2872, 6.2872 and 5.5800 Å, with angles of 90.00, 90.00 and 90.00 degrees. The inequivalent atoms are K at (0.0000, 0.5000, 0.0000), Na at (0.0000, 0.0000, 0.5000), Hg at (0.0000, 0.0000, 0.0000) and N at (0.5000, 0.5000, 0.5000).

***

Record 2
DFT (GGA-PBE) results for a relaxed structure of K2NiHgN.

As for the formation energy (no corrections): -0.08 eV per atom. The value obtained for the total magnetization is 0.00 μB per formula unit. The value obtained for the raw total energy is -16.99 eV/cell. The density of states at the Fermi level comes out at 0.222 states/eV per atom.

The space group is P4/mmm (No. 123) and the conventional cell measures 6.0268, 6.0268 and 3.4712 Å, with angles of 90.00, 90.00 and 90.00 degrees. The inequivalent atoms are K at (0.0000, 0.5000, 0.0000), Ni at (0.0000, 0.0000, 0.5000), Hg at (0.5000, 0.5000, 0.5000) and N at (0.0000, 0.0000, 0.0000).

***

Q: raw total energy of number 1 (K2NaHgN)?
A: -6.84 eV/cell

***

Q: Look up the formation energy (no corrections) of the first one.
A: 1.06 eV per atom